# 1
Below is a relaxed structure of NaGa2Co, with properties calculated at the PBE level.

Energy relative to the elements (eV/atom): -0.090

CIF file:
```
data_NaGa2Co
_cell_length_a 2.947
_cell_length_b 2.947
_cell_length_c 7.670
_cell_angle_alpha 90.00
_cell_angle_beta 90.00
_cell_angle_gamma 90.00
_symmetry_space_group_name_H-M 'P 4/m m m'
_symmetry_Int_Tables_number 123
_symmetry_space_group_name_Hall '-P 4 2'
loop_
_atom_site_label
_atom_site_type_symbol
_atom_site_fract_x
_atom_site_fract_y
_atom_site_fract_z
_atom_site_occupancy
Na1 Na 0.000 0.000 0.000 1
Ga1 Ga 0.500 0.500 0.313 1
Co1 Co 0.000 0.000 0.500 1
```

# 2
Below is a relaxed structure of CsHg2Sb6, with properties calculated at the PBE level.

CIF file:
```
data_CsHg2Sb6
_cell_length_a 11.836
_cell_length_b 14.681
_cell_length_c 4.020
_cell_angle_alpha 90.00
_cell_angle_beta 109.82
_cell_angle_gamma 90.00
_symmetry_space_group_name_H-M 'C 1 2/m 1'
_symmetry_Int_Tables_number 12
_symmetry_space_group_name_Hall '-C 2y'
loop_
_atom_site_label
_atom_site_type_symbol
_atom_site_fract_x
_atom_site_fract_y
_atom_site_fract_z
_atom_site_occupancy
Cs1 Cs 0.000 0.000 0.000 1
Hg1 Hg 0.191 0.500 0.189 1
Sb1 Sb 0.000 0.372 0.500 1
Sb2 Sb 0.165 0.221 0.665 1
```

# 3
Below is a relaxed structure of CsZnInP2, with properties calculated at the PBE level.

Energy relative to the elements (eV/atom): -0.322

CIF file:
```
data_CsZnInP2
_cell_length_a 13.695
_cell_length_b 4.232
_cell_length_c 10.150
_cell_angle_alpha 90.00
_cell_angle_beta 98.79
_cell_angle_gamma 90.00
_symmetry_space_group_name_H-M 'C 1 2/m 1'
_symmetry_Int_Tables_number 12
_symmetry_space_group_name_Hall '-C 2y'
loop_
_atom_site_label
_atom_site_type_symbol
_atom_site_fract_x
_atom_site_fract_y
_atom_site_fract_z
_atom_site_occupancy
Cs1 Cs 0.157 0.000 0.158 1
Zn1 Zn 0.178 0.000 0.568 1
In1 In 0.044 0.500 0.675 1
P1 P 0.124 0.000 0.790 1
P2 P 0.136 0.500 0.445 1
```

# 4
Below is a relaxed structure of V2CuMoH, with properties calculated at the PBE level.

CIF file:
```
data_V2CuMoH
_cell_length_a 3.866
_cell_length_b 3.866
_cell_length_c 3.823
_cell_angle_alpha 90.00
_cell_angle_beta 90.00
_cell_angle_gamma 90.00
_symmetry_space_group_name_H-M 'P 4/m m m'
_symmetry_Int_Tables_number 123
_symmetry_space_group_name_Hall '-P 4 2'
loop_
_atom_site_label
_atom_site_type_symbol
_atom_site_fract_x
_atom_site_fract_y
_atom_site_fract_z
_atom_site_occupancy
V1 V 0.000 0.500 0.000 1
Cu1 Cu 0.000 0.000 0.500 1
Mo1 Mo 0.500 0.500 0.500 1
H1 H 0.500 0.500 0.000 1
```

# 5
Below is a relaxed structure of CaDyTl2, with properties calculated at the PBE level.

Energy relative to the elements (eV/atom): -0.398

CIF file:
```
data_CaDyTl2
_cell_length_a 3.822
_cell_length_b 3.822
_cell_length_c 7.726
_cell_angle_alpha 90.00
_cell_angle_beta 90.00
_cell_angle_gamma 90.00
_symmetry_space_group_name_H-M 'P 4/m m m'
_symmetry_Int_Tables_number 123
_symmetry_space_group_name_Hall '-P 4 2'
loop_
_atom_site_label
_atom_site_type_symbol
_atom_site_fract_x
_atom_site_fract_y
_atom_site_fract_z
_atom_site_occupancy
Ca1 Ca 0.000 0.000 0.000 1
Dy1 Dy 0.000 0.000 0.500 1
Tl1 Tl 0.500 0.500 0.256 1
```

# 6
Below is a relaxed structure of Sc3C, with properties calculated at the PBE level.

Energy relative to the elements (eV/atom): -0.085

CIF file:
```
data_Sc3C
_cell_length_a 3.108
_cell_length_b 9.052
_cell_length_c 5.539
_cell_angle_alpha 90.00
_cell_angle_beta 90.00
_cell_angle_gamma 90.00
_symmetry_space_group_name_H-M 'I m m 2'
_symmetry_Int_Tables_number 44
_symmetry_space_group_name_Hall 'I 2 -2'
loop_
_atom_site_label
_atom_site_type_symbol
_atom_site_fract_x
_atom_site_fract_y
_atom_site_fract_z
_atom_site_occupancy
Sc1 Sc 0.000 0.000 0.000 1
Sc2 Sc 0.000 0.166 0.459 1
C1 C 0.000 0.500 0.793 1
```

# 7
Below is a relaxed structure of TaMn2Cr, with properties calculated at the PBE level.

Energy relative to the elements (eV/atom): 0.050

CIF file:
```
data_TaMn2Cr
_cell_length_a 5.970
_cell_length_b 5.970
_cell_length_c 5.970
_cell_angle_alpha 90.00
_cell_angle_beta 90.00
_cell_angle_gamma 90.00
_symmetry_space_group_name_H-M 'F -4 3 m'
_symmetry_Int_Tables_number 216
_symmetry_space_group_name_Hall 'F -4 2 3'
loop_
_atom_site_label
_atom_site_type_symbol
_atom_site_fract_x
_atom_site_fract_y
_atom_site_fract_z
_atom_site_occupancy
Ta1 Ta 0.000 0.000 0.000 1
Mn1 Mn 0.000 0.000 0.500 1
Mn2 Mn 0.250 0.250 0.250 1
Cr1 Cr 0.250 0.250 0.750 1
```

no.,final energy (eV/cell),volume (Å³ per cell)
1,-14.8,66.6
2,-53.1,657.1
3,-69.2,581.3
4,-36.2,57.1
5,-12.9,112.9
6,-57.1,155.8
7,-158.5,212.8